(1)
Entry from Alexandria: a relaxed structure of K2MgAu (GGA-PBE).

Cell lengths 11.173, 11.173, 11.173 Å; angles 21.61, 21.61, 21.61 degrees
Positions (direct):
K (0.485, 0.485, 0.485)
K (0.015, 0.015, 0.015)
Mg (0.250, 0.250, 0.250)
Au (0.750, 0.750, 0.750)

* DFT formation energy: 57.4 meV/atom
* density of states at the Fermi level: 1.600 states/eV/cell

(2)
Entry from Alexandria: a relaxed structure of KMgAu2 (GGA-PBE).

Cell lengths 5.590, 5.590, 5.590 Å; angles 133.31, 133.31, 68.17 degrees
Positions (direct):
Au (0.250, 0.750, 0.500)
Au (0.000, 0.000, 0.000)
K (0.500, 0.500, 0.000)
Mg (0.750, 0.250, 0.500)

* DFT formation energy: -90.9 meV/atom
* density of states at the Fermi level: 1.346 states/eV/cell

(3)
Entry from Alexandria: a relaxed structure of K2MgAu (GGA-PBE).

Cell lengths 7.117, 7.117, 7.117 Å; angles 146.73, 130.80, 60.69 degrees
Positions (direct):
Mg (0.429, 0.429, 0.000)
K (0.047, 0.047, 0.000)
K (0.738, 0.238, 0.500)
Au (0.286, 0.786, 0.500)

* DFT formation energy: -134.8 meV/atom
* density of states at the Fermi level: 2.083 states/eV/cell

(4)
Entry from Alexandria: a relaxed structure of K4MgAu4 (GGA-PBE).

Cell lengths 6.937, 8.493, 6.937 Å; angles 65.89, 90.00, 114.11 degrees
Positions (direct):
Au (0.667, 0.772, 0.333)
Au (0.333, 0.228, 0.105)
Au (0.895, 0.228, 0.667)
Au (0.105, 0.772, 0.895)
K (0.428, 0.280, 0.572)
K (0.852, 0.280, 0.148)
K (0.148, 0.720, 0.428)
K (0.572, 0.720, 0.852)
Mg (0.000, 0.000, 0.000)

* DFT formation energy: -215.0 meV/atom
* density of states at the Fermi level: 3.546 states/eV/cell

(5)
Entry from Alexandria: a relaxed structure of K2MgAu (GGA-PBE).

Cell lengths 6.158, 6.158, 6.154 Å; angles 128.68, 128.66, 75.60 degrees
Positions (direct):
K (0.500, 0.500, 0.000)
K (0.000, 0.000, 0.000)
Au (0.250, 0.750, 0.500)
Mg (0.750, 0.250, 0.500)

* DFT formation energy: 30.7 meV/atom
* density of states at the Fermi level: 1.443 states/eV/cell

(6)
Entry from Alexandria: a relaxed structure of KMgAu (GGA-PBE).

Cell lengths 5.139, 5.139, 5.139 Å; angles 60.00, 60.00, 60.00 degrees
Positions (direct):
K (0.000, 0.000, 0.000)
Au (0.750, 0.750, 0.750)
Mg (0.500, 0.500, 0.500)

* DFT formation energy: -79.4 meV/atom
* density of states at the Fermi level: 1.637 states/eV/cell

(7)
Entry from Alexandria: a relaxed structure of KMg4Au (GGA-PBE).

Cell lengths 5.954, 5.954, 5.954 Å; angles 60.00, 60.00, 60.00 degrees
Positions (direct):
Mg (0.870, 0.377, 0.377)
Mg (0.377, 0.377, 0.377)
Mg (0.377, 0.870, 0.377)
Mg (0.377, 0.377, 0.870)
Au (0.750, 0.750, 0.750)
K (0.000, 0.000, 0.000)

* DFT formation energy: 98.1 meV/atom
* density of states at the Fermi level: 1.293 states/eV/cell

(8)
Entry from Alexandria: a relaxed structure of KMgAu2 (GGA-PBE).

Cell lengths 5.001, 5.001, 5.001 Å; angles 61.52, 61.52, 61.52 degrees
Positions (direct):
Au (0.242, 0.242, 0.242)
Au (0.999, 0.999, 0.999)
Mg (0.760, 0.760, 0.760)
K (0.500, 0.500, 0.500)

* DFT formation energy: -55.2 meV/atom
* density of states at the Fermi level: 1.358 states/eV/cell